Ce6FeHg3: optimized geometry, GGA-PBE.

Properties
- Fermi-level density of states (states/eV per atom) = 2.789
- total energy (eV/atom) = -4.582
- SG = No. 12

Cell lengths 5.940, 5.940, 8.209 Å; angles 101.07, 101.07, 68.84 degrees
Atoms (fractional coordinates):
Ce 0.100 0.669 0.624
Ce 0.331 0.900 0.376
Ce 0.352 0.352 0.134
Ce 0.648 0.648 0.866
Ce 0.669 0.100 0.624
Ce 0.900 0.331 0.376
Fe 0.500 0.500 0.500
Hg 0.000 0.000 0.000
Hg 0.188 0.188 0.759
Hg 0.812 0.812 0.241

***

Ce2FeHg: optimized geometry, GGA-PBE.

Properties
- Fermi-level density of states (states/eV per atom) = 1.689
- SG = No. 166
- relative energy among the computed polymorphs (meV per atom) = 21

Cell lengths 8.223, 8.223, 8.223 Å; angles 26.77, 26.77, 26.77 degrees
Atoms (fractional coordinates):
Ce 0.229 0.229 0.229
Ce 0.771 0.771 0.771
Fe 0.500 0.500 0.500
Hg 0.000 0.000 0.000

***

Question: The lowest Fermi-level density of states belongs to which entry?
Answer: Ce2FeHg